Run a
Material: AgTe2IrN
Method: DFT, GGA-PBE
State: relaxed

```
AgTe2IrN
1.0
5.3984 0.0000 0.0000
0.0000 5.3984 0.0000
0.0000 0.0000 3.7369
Ag Te Ir N
1 2 1 1
direct
0.0000 0.0000 0.0000
0.0000 0.5000 0.0000
0.5000 0.0000 0.0000
0.5000 0.5000 0.5000
0.0000 0.0000 0.5000
```

Mass density, g/cm3: 8.680
Total magnetic moment, Bohr magnetons per cell: 0.0
D(E_F), states/eV/cell: 5.35

=====

Run b
Material: AgTe2IrN
Method: DFT, GGA-PBE
State: relaxed

```
AgTe2IrN
1.0
5.5980 0.0000 0.0000
0.0000 5.5980 0.0000
0.0000 0.0000 3.6344
Ag Te Ir N
1 2 1 1
direct
0.0000 0.0000 0.0000
0.0000 0.5000 0.5000
0.5000 0.0000 0.5000
0.5000 0.5000 0.5000
0.5000 0.5000 0.0000
```

Mass density, g/cm3: 8.300
Total magnetic moment, Bohr magnetons per cell: 0.0
D(E_F), states/eV/cell: 4.48

=====

Verdict on stability: run b comes out on top.

=====

Run a
Material: AgTeIrN2
Method: DFT, GGA-PBE
State: relaxed

```
AgTeIrN2
1.0
3.8495 0.0000 0.0000
0.0000 3.8495 0.0000
0.0000 0.0000 5.9578
Ag Te Ir N
1 1 1 2
direct
0.0000 0.0000 0.0000
0.5000 0.5000 0.0000
0.5000 0.5000 0.5000
0.0000 0.5000 0.5000
0.5000 0.0000 0.5000
```

Mass density, g/cm3: 8.571
Total magnetic moment, Bohr magnetons per cell: 0.0
D(E_F), states/eV/cell: 4.69

=====

Run b
Material: AgTeIrN2
Method: DFT, GGA-PBE
State: relaxed

```
AgTeIrN2
1.0
3.9251 0.0000 0.0000
0.0000 3.9251 0.0000
0.0000 0.0000 6.7461
Ag Te Ir N
1 1 1 2
direct
0.0000 0.0000 0.0000
0.0000 0.0000 0.5000
0.5000 0.5000 0.5000
0.0000 0.5000 0.0000
0.5000 0.0000 0.0000
```

Mass density, g/cm3: 7.281
Total magnetic moment, Bohr magnetons per cell: 3.6
D(E_F), states/eV/cell: 3.74

=====

Verdict on stability: run a comes out on top.

=====

Run a
Material: NaAgIr2
Method: DFT, GGA-PBE
State: relaxed

```
NaAgIr2
1.0
6.3707 0.0000 0.0000
0.0000 6.3707 0.0000
0.0000 0.0000 6.3707
Na Ag Ir
4 4 8
direct
0.0000 0.0000 0.0000
0.0000 0.5000 0.5000
0.5000 0.0000 0.5000
0.5000 0.5000 0.0000
0.0000 0.0000 0.5000
0.0000 0.5000 0.0000
0.5000 0.0000 0.0000
0.5000 0.5000 0.5000
0.2500 0.2500 0.2500
0.2500 0.2500 0.7500
0.2500 0.7500 0.2500
0.2500 0.7500 0.7500
0.7500 0.2500 0.2500
0.7500 0.2500 0.7500
0.7500 0.7500 0.2500
0.7500 0.7500 0.7500
```

Mass density, g/cm3: 13.237
Total magnetic moment, Bohr magnetons per cell: 0.0
D(E_F), states/eV/cell: 26.69

=====

Run b
Material: NaAgIr2
Method: DFT, GGA-PBE
State: relaxed

```
NaAgIr2
1.0
8.0100 0.0000 0.0000
0.0000 8.0100 0.0000
0.0000 0.0000 4.8022
Na Ag Ir
4 4 8
direct
0.0000 0.0000 0.0000
0.0000 0.5000 0.2500
0.5000 0.0000 0.7500
0.5000 0.5000 0.5000
0.0000 0.0000 0.5000
0.0000 0.5000 0.7500
0.5000 0.0000 0.2500
0.5000 0.5000 0.0000
0.2035 0.7500 0.6250
0.2500 0.2035 0.3750
0.2500 0.2965 0.8750
0.2965 0.7500 0.1250
0.7035 0.2500 0.1250
0.7500 0.7035 0.8750
0.7500 0.7965 0.3750
0.7965 0.2500 0.6250
```

Mass density, g/cm3: 11.109
Total magnetic moment, Bohr magnetons per cell: 0.0
D(E_F), states/eV/cell: 7.07

=====

Verdict on stability: run b comes out on top.

=====

Run a
Material: Nb2AgIr2
Method: DFT, GGA-PBE
State: relaxed

```
Nb2AgIr2
1.0
7.7217 0.0000 0.0000
0.0000 7.7217 0.0000
0.0000 0.0000 2.9174
Nb Ag Ir
4 2 4
direct
0.1628 0.3372 0.0000
0.3372 0.8372 0.0000
0.6628 0.1628 0.0000
0.8372 0.6628 0.0000
0.0000 0.0000 0.5000
0.5000 0.5000 0.5000
0.1325 0.6325 0.5000
0.3675 0.1325 0.5000
0.6325 0.8675 0.5000
0.8675 0.3675 0.5000
```

Mass density, g/cm3: 12.947
Total magnetic moment, Bohr magnetons per cell: 0.0
D(E_F), states/eV/cell: 7.16

=====

Run b
Material: Nb2AgIr2
Method: DFT, GGA-PBE
State: relaxed

```
Nb2AgIr2
1.0
3.8824 0.0000 0.0000
0.0000 3.8824 0.0000
0.0000 0.0000 12.6835
Nb Ag Ir
4 2 4
direct
0.0000 0.0000 0.1127
0.0000 0.0000 0.8873
0.5000 0.5000 0.3873
0.5000 0.5000 0.6127
0.0000 0.0000 0.5000
0.5000 0.5000 0.0000
0.0000 0.5000 0.2500
0.0000 0.5000 0.7500
0.5000 0.0000 0.2500
0.5000 0.0000 0.7500
```

Mass density, g/cm3: 11.780
Total magnetic moment, Bohr magnetons per cell: 2.0
D(E_F), states/eV/cell: 7.29

=====

Verdict on stability: run a comes out on top.

=====

Run a
Material: NbAgIr3
Method: DFT, GGA-PBE
State: relaxed

```
NbAgIr3
1.0
4.6923 0.0000 0.0000
0.0000 4.6923 0.0000
0.0000 0.0000 4.6923
Nb Ag Ir
1 1 3
direct
0.0000 0.0000 0.0000
0.5000 0.5000 0.5000
0.0000 0.5000 0.5000
0.5000 0.0000 0.5000
0.5000 0.5000 0.0000
```

Mass density, g/cm3: 12.495
Total magnetic moment, Bohr magnetons per cell: 0.0
D(E_F), states/eV/cell: 6.51

=====

Run b
Material: NbAgIr3
Method: DFT, GGA-PBE
State: relaxed

```
NbAgIr3
1.0
4.7760 0.0000 0.0000
0.0000 4.7760 0.0000
0.0000 0.0000 4.7760
Nb Ag Ir
1 1 3
direct
0.0000 0.0000 0.0000
0.5000 0.5000 0.5000
0.0000 0.0000 0.5000
0.0000 0.5000 0.0000
0.5000 0.0000 0.0000
```

Mass density, g/cm3: 11.850
Total magnetic moment, Bohr magnetons per cell: 0.0
D(E_F), states/eV/cell: 4.30

=====

Verdict on stability: run b comes out on top.

=====

Run a
Material: Nd3AgIr2
Method: DFT, GGA-PBE
State: relaxed

```
Nd3AgIr2
1.0
3.5807 0.0000 0.0000
0.0000 3.5807 0.0000
0.0000 0.0000 11.2020
Nd Ag Ir
3 1 2
direct
0.0000 0.0000 0.0000
0.0000 0.0000 0.3082
0.0000 0.0000 0.6918
0.5000 0.5000 0.5000
0.5000 0.5000 0.1624
0.5000 0.5000 0.8376
```

Mass density, g/cm3: 10.695
Total magnetic moment, Bohr magnetons per cell: 0.0
D(E_F), states/eV/cell: 3.91

=====

Run b
Material: Nd3AgIr2
Method: DFT, GGA-PBE
State: relaxed

```
Nd3AgIr2
1.0
5.1355 0.0000 0.0000
0.0000 15.0475 0.0000
0.0000 0.0000 3.6467
Nd Ag Ir
6 2 4
direct
0.0000 0.0000 0.0000
0.0000 0.3238 0.0000
0.0000 0.6762 0.0000
0.5000 0.1762 0.0000
0.5000 0.5000 0.0000
0.5000 0.8238 0.0000
0.0000 0.5000 0.5000
0.5000 0.0000 0.5000
0.0000 0.1628 0.5000
0.0000 0.8372 0.5000
0.5000 0.3372 0.5000
0.5000 0.6628 0.5000
```

Mass density, g/cm3: 10.902
Total magnetic moment, Bohr magnetons per cell: 0.0
D(E_F), states/eV/cell: 6.68

=====

Verdict on stability: run a comes out on top.